No. 1
TaHg2Ir | PBE | relaxed

Excess energy over the best structure of this formula in the dataset = 73.6 kJ per mole of atoms
ΔH_f (0 K) = 18.67 kcal/mol of atoms
VASP energy = -18.08 eV per formula unit
Volume = 323.9 Å³/cell

abc: 7.714 7.714 5.443
angles: 90.00 90.00 90.00
Fractional coordinates of all 16 atoms:
Ta  0.000  0.000  0.000
Ta  0.000  0.500  0.250
Ta  0.500  0.000  0.750
Ta  0.500  0.500  0.500
Hg  0.240  0.750  0.625
Hg  0.250  0.240  0.375
Hg  0.250  0.260  0.875
Hg  0.260  0.750  0.125
Hg  0.740  0.250  0.125
Hg  0.750  0.740  0.875
Hg  0.750  0.760  0.375
Hg  0.760  0.250  0.625
Ir  0.000  0.000  0.500
Ir  0.000  0.500  0.750
Ir  0.500  0.000  0.250
Ir  0.500  0.500  0.000

No. 2
TaHgIr2 | PBE | relaxed

ΔH_f (0 K) = 7.70 kcal/mol of atoms
VASP energy = -28.54 eV per formula unit
Volume = 269.6 Å³/cell

abc: 6.460 6.460 6.460
angles: 90.00 90.00 90.00
Fractional coordinates of all 16 atoms:
Ta  0.000  0.000  0.000
Ta  0.000  0.500  0.500
Ta  0.500  0.000  0.500
Ta  0.500  0.500  0.000
Hg  0.250  0.250  0.750
Hg  0.250  0.750  0.250
Hg  0.750  0.250  0.250
Hg  0.750  0.750  0.750
Ir  0.000  0.000  0.500
Ir  0.000  0.500  0.000
Ir  0.250  0.250  0.250
Ir  0.250  0.750  0.750
Ir  0.500  0.000  0.000
Ir  0.500  0.500  0.500
Ir  0.750  0.250  0.750
Ir  0.750  0.750  0.250

No. 3
Ta2HgIr | PBE | relaxed

ΔH_f (0 K) = 0.28 kcal/mol of atoms
VASP energy = -32.82 eV per formula unit
Volume = 72.4 Å³/cell

abc: 2.967 2.967 8.231
angles: 90.00 90.00 90.00
Fractional coordinates of all 4 atoms:
Ta  0.000  0.000  0.000
Ta  0.500  0.500  0.267
Hg  0.000  0.000  0.536
Ir  0.500  0.500  0.797